Below is a relaxed BaNaIn4 crystal, with properties calculated at the GGA-PBE level.

abc: 6.6089 6.6089 6.6089
angles: 135.51 104.63 91.95
Last column: nearest neighbours and their distance in Å.
Positions (direct):
1 Ba 0.0000 0.0000 0.0000  12 In 3.49-3.79
2 Na 0.5000 0.0000 0.5000  8 In 3.33
3 In 0.1369 0.3372 0.7997  4 In 2.99-3.24, 2 Na 3.33
4 In 0.4625 0.6628 0.7997  4 In 2.99-3.24, 2 Na 3.33
5 In 0.5375 0.3372 0.2003  4 In 2.99-3.24, 2 Na 3.33
6 In 0.8631 0.6628 0.2003  4 In 2.99-3.24, 2 Na 3.33

Summary:
excess energy over the best structure of this formula in the dataset: 0.0107 eV per atom
energy of formation: -0.30 eV per atom